(1)
# Na2BF6 | Alexandria | GGA-PBE | relaxed
# Uncorrected formation energy   -2.22 eV per atom
# Space-group type   P4_2/mnm, No. 136
# Distance to the lowest polymorph of the same formula   0 meV per atom
# Volume   218 Å³/cell
data_Na2BF6
_chemical_formula_sum 'Na4 B2 F12'
_symmetry_space_group_name_H-M 'P 1'
_symmetry_Int_Tables_number 1
_cell_length_a 4.790
_cell_length_b 4.790
_cell_length_c 9.487
_cell_angle_alpha 90.00
_cell_angle_beta 90.00
_cell_angle_gamma 90.00
loop_
_symmetry_equiv_pos_as_xyz
'x,y,z'
loop_
_atom_site_label
_atom_site_fract_x
_atom_site_fract_y
_atom_site_fract_z
_atom_site_occupancy
F1 0.331 0.331 0.378 1
F2 0.764 0.764 0.000 1
F3 0.169 0.831 0.878 1
F4 0.831 0.169 0.122 1
F5 0.331 0.331 0.622 1
F6 0.736 0.264 0.500 1
F7 0.669 0.669 0.378 1
F8 0.169 0.831 0.122 1
F9 0.236 0.236 0.000 1
F10 0.831 0.169 0.878 1
F11 0.264 0.736 0.500 1
F12 0.669 0.669 0.622 1
Na1 0.500 0.500 0.165 1
Na2 0.500 0.500 0.835 1
Na3 0.000 0.000 0.335 1
Na4 0.000 0.000 0.665 1
B1 0.500 0.500 0.500 1
B2 0.000 0.000 0.000 1

(2)
# NbMo2Rh2 | Alexandria | GGA-PBE | relaxed
# Space-group type   P4/mbm, No. 127
# Distance to the lowest polymorph of the same formula   44 meV per atom
# Volume   161 Å³/cell
# ΔE_f   0.0048 eV per atom
data_NbMo2Rh2
_chemical_formula_sum 'Nb2 Mo4 Rh4'
_symmetry_space_group_name_H-M 'P 1'
_symmetry_Int_Tables_number 1
_cell_length_a 7.622
_cell_length_b 7.622
_cell_length_c 2.771
_cell_angle_alpha 90.00
_cell_angle_beta 90.00
_cell_angle_gamma 90.00
loop_
_symmetry_equiv_pos_as_xyz
'x,y,z'
loop_
_atom_site_label
_atom_site_fract_x
_atom_site_fract_y
_atom_site_fract_z
_atom_site_occupancy
Mo1 0.121 0.379 0.000 1
Mo2 0.621 0.121 0.000 1
Mo3 0.879 0.621 0.000 1
Mo4 0.379 0.879 0.000 1
Rh1 0.175 0.675 0.500 1
Rh2 0.825 0.325 0.500 1
Rh3 0.325 0.175 0.500 1
Rh4 0.675 0.825 0.500 1
Nb1 0.000 0.000 0.000 1
Nb2 0.500 0.500 0.000 1

Which formula does entry 1 have?
Na2BF6